(1)
The following is a PBEsol calculation of an optimized crystal structure of BaAgIr2, from Alexandria via LeMat-Bulk.

abc: 6.7967 6.7967 6.7967
angles: 90.00 90.00 90.00
Space group F-43m (No. 216)
Symmetry-distinct sites (fractional):
Ba: 0.0000 0.0000 0.0000
Ag: 0.2500 0.2500 0.2500
Ir: 0.0000 0.0000 0.5000
Ir: 0.2500 0.2500 0.7500

## Properties
ΔE to the lowest computed polymorph, meV/atom: 23
ΔH_f (0 K), eV per atom: 0.835

=====

(2)
The following is a PBEsol calculation of an optimized crystal structure of ScCdAs2Br, from Alexandria via LeMat-Bulk.

abc: 5.1043 5.1043 5.0349
angles: 90.00 90.00 90.00
Space group P4/mmm (No. 123)
Symmetry-distinct sites (fractional):
Sc: 0.0000 0.0000 0.0000
Cd: 0.5000 0.5000 0.0000
As: 0.0000 0.5000 0.5000
Br: 0.5000 0.5000 0.5000

## Properties
Uncorrected energy, eV per atom: -3.29

=====

(3)
The following is a PBEsol calculation of an optimized crystal structure of La2Ti3O9, from Alexandria via LeMat-Bulk.

abc: 6.8556 6.8556 10.5705
angles: 90.00 90.00 120.00
Space group P6_3/m (No. 176)
Symmetry-distinct sites (fractional):
La: 0.3333 0.6667 0.0478
Ti: 0.0832 0.7698 0.7500
O: 0.0651 0.6165 0.6093
O: 0.0805 0.7938 0.2500

## Properties
ΔE to the lowest computed polymorph, meV/atom: 118